The following is a PBE calculation of a relaxed HfSnHg crystal, from Alexandria.

Output
E above lowest polymorph ... 0.225 eV per formula unit
ΔE_f ... 5 kJ/mol of atoms
DOS at the Fermi energy ... 0.43 states/eV per atom
Total DFT energy (no corrections) ... -4.699 eV per atom
Spin magnetization ... 0.000 μB/f.u.

Cell lengths 4.9326, 4.9326, 3.2235 Å; angles 90.00, 90.00, 120.00 degrees
Positions (direct):
Hf: 0.0000 0.0000 0.0000
Sn: 0.6667 0.3333 0.4308
Hg: 0.3333 0.6667 0.7132



The following is a PBE calculation of a relaxed HfSn2Hg crystal, from Alexandria.

Output
ΔE_f ... 22 kJ/mol of atoms
DOS at the Fermi energy ... 0.53 states/eV per atom
Total DFT energy (no corrections) ... -4.340 eV per atom
Spin magnetization ... 0.000 μB/f.u.

Cell lengths 8.0422, 8.0422, 6.2122 Å; angles 90.00, 90.00, 90.00 degrees
Positions (direct):
Hf: 0.0000 0.0000 0.0000
Hf: 0.0000 0.5000 0.2500
Hf: 0.5000 0.0000 0.7500
Hf: 0.5000 0.5000 0.5000
Sn: 0.2430 0.7500 0.6250
Sn: 0.2500 0.2430 0.3750
Sn: 0.2500 0.2570 0.8750
Sn: 0.2570 0.7500 0.1250
Sn: 0.7430 0.2500 0.1250
Sn: 0.7500 0.7430 0.8750
Sn: 0.7500 0.7570 0.3750
Sn: 0.7570 0.2500 0.6250
Hg: 0.0000 0.0000 0.5000
Hg: 0.0000 0.5000 0.7500
Hg: 0.5000 0.0000 0.2500
Hg: 0.5000 0.5000 0.0000



The following is a PBE calculation of a relaxed Hf8Sn2Hg3 crystal, from Alexandria.

Output
ΔE_f ... 19 kJ/mol of atoms
DOS at the Fermi energy ... 1.17 states/eV per atom
Total DFT energy (no corrections) ... -6.614 eV per atom
Spin magnetization ... 0.000 μB/f.u.

Cell lengths 9.6022, 9.6022, 4.9822 Å; angles 93.83, 93.83, 42.01 degrees
Positions (direct):
Hf: 0.1144 0.1144 0.0143
Hf: 0.1662 0.5992 0.4602
Hf: 0.3307 0.3307 0.9369
Hf: 0.4008 0.8338 0.5398
Hf: 0.5992 0.1662 0.4602
Hf: 0.6693 0.6693 0.0631
Hf: 0.8338 0.4008 0.5398
Hf: 0.8856 0.8856 0.9857
Sn: 0.2381 0.2381 0.4120
Sn: 0.7619 0.7619 0.5880
Hg: 0.0000 0.0000 0.5000
Hg: 0.3003 0.6997 0.0000
Hg: 0.6997 0.3003 0.0000



The following is a PBE calculation of a relaxed Hf3SnHg crystal, from Alexandria.

Output
E above lowest polymorph ... 4.548 eV per formula unit
ΔE_f ... 86 kJ/mol of atoms
DOS at the Fermi energy ... 1.37 states/eV per atom
Total DFT energy (no corrections) ... -5.939 eV per atom
Spin magnetization ... 0.000 μB/f.u.

Cell lengths 5.1874, 5.1874, 5.1874 Å; angles 90.00, 90.00, 90.00 degrees
Positions (direct):
Hf: 0.0000 0.0000 0.5000
Hf: 0.0000 0.5000 0.0000
Hf: 0.5000 0.0000 0.0000
Sn: 0.5000 0.5000 0.5000
Hg: 0.0000 0.0000 0.0000



The following is a PBE calculation of a relaxed HfSn2Hg crystal, from Alexandria.

Output
ΔE_f ... 13 kJ/mol of atoms
DOS at the Fermi energy ... 0.60 states/eV per atom
Total DFT energy (no corrections) ... -4.431 eV per atom
Spin magnetization ... 0.000 μB/f.u.

Cell lengths 4.5318, 4.5318, 17.9255 Å; angles 90.00, 90.00, 120.00 degrees
Positions (direct):
Hf: 0.0000 0.0000 0.0000
Hf: 0.3333 0.6667 0.6667
Hf: 0.6667 0.3333 0.3333
Sn: 0.0000 0.0000 0.4073
Sn: 0.0000 0.0000 0.5873
Sn: 0.3333 0.6667 0.0740
Sn: 0.3333 0.6667 0.2540
Sn: 0.6667 0.3333 0.7407
Sn: 0.6667 0.3333 0.9207
Hg: 0.0000 0.0000 0.8285
Hg: 0.3333 0.6667 0.4952
Hg: 0.6667 0.3333 0.1619



The following is a PBE calculation of a relaxed Hf9Sn2Hg crystal, from Alexandria.

Output
ΔE_f ... -17 kJ/mol of atoms
DOS at the Fermi energy ... 0.91 states/eV per atom
Total DFT energy (no corrections) ... -8.338 eV per atom
Spin magnetization ... 0.000 μB/f.u.

Cell lengths 4.4184, 4.4184, 13.2391 Å; angles 90.00, 90.00, 90.00 degrees
Positions (direct):
Hf: 0.0000 0.0000 0.0000
Hf: 0.0000 0.0000 0.3312
Hf: 0.0000 0.0000 0.6688
Hf: 0.0000 0.5000 0.1661
Hf: 0.0000 0.5000 0.5000
Hf: 0.0000 0.5000 0.8339
Hf: 0.5000 0.0000 0.1661
Hf: 0.5000 0.0000 0.5000
Hf: 0.5000 0.0000 0.8339
Sn: 0.5000 0.5000 0.3335
Sn: 0.5000 0.5000 0.6665
Hg: 0.5000 0.5000 0.0000



The following is a PBE calculation of a relaxed Hf8SnHg2 crystal, from Alexandria.

Output
ΔE_f ... 10 kJ/mol of atoms
DOS at the Fermi energy ... 1.02 states/eV per atom
Total DFT energy (no corrections) ... -7.558 eV per atom
Spin magnetization ... 0.000 μB/f.u.

Cell lengths 7.8339, 7.8339, 5.1940 Å; angles 101.94, 101.94, 120.40 degrees
Positions (direct):
Hf: 0.0962 0.3172 0.6531
Hf: 0.2182 0.7818 0.0000
Hf: 0.3172 0.0962 0.6531
Hf: 0.4121 0.4121 0.2047
Hf: 0.5879 0.5879 0.7952
Hf: 0.6828 0.9038 0.3469
Hf: 0.7818 0.2182 0.0000
Hf: 0.9038 0.6828 0.3469
Sn: 0.0000 0.0000 0.0000
Hg: 0.3058 0.6942 0.5000
Hg: 0.6942 0.3058 0.5000



The following is a PBE calculation of a relaxed Hf2SnHg2 crystal, from Alexandria.

Output
E above lowest polymorph ... 0.000 eV per formula unit
ΔE_f ... 7 kJ/mol of atoms
DOS at the Fermi energy ... 1.10 states/eV per atom
Total DFT energy (no corrections) ... -4.829 eV per atom
Spin magnetization ... 0.000 μB/f.u.

Cell lengths 7.5093, 7.5093, 4.1815 Å; angles 90.00, 90.00, 90.00 degrees
Positions (direct):
Hf: 0.1490 0.3510 0.0000
Hf: 0.3510 0.8510 0.0000
Hf: 0.6490 0.1490 0.0000
Hf: 0.8510 0.6490 0.0000
Sn: 0.0000 0.0000 0.0000
Sn: 0.5000 0.5000 0.0000
Hg: 0.1500 0.6500 0.5000
Hg: 0.3500 0.1500 0.5000
Hg: 0.6500 0.8500 0.5000
Hg: 0.8500 0.3500 0.5000



The following is a PBE calculation of a relaxed HfSn2Hg crystal, from Alexandria.

Output
ΔE_f ... -4 kJ/mol of atoms
DOS at the Fermi energy ... 0.48 states/eV per atom
Total DFT energy (no corrections) ... -4.608 eV per atom
Spin magnetization ... 0.000 μB/f.u.

Cell lengths 5.4170, 5.4170, 3.2163 Å; angles 90.00, 90.00, 90.00 degrees
Positions (direct):
Hf: 0.0000 0.0000 0.0000
Sn: 0.0000 0.5000 0.5000
Sn: 0.5000 0.0000 0.5000
Hg: 0.5000 0.5000 0.0000



The following is a PBE calculation of a relaxed HfSn2Hg crystal, from Alexandria.

Output
ΔE_f ... -7 kJ/mol of atoms
DOS at the Fermi energy ... 0.47 states/eV per atom
Total DFT energy (no corrections) ... -4.638 eV per atom
Spin magnetization ... 0.000 μB/f.u.

Cell lengths 3.3264, 3.3264, 31.0796 Å; angles 90.00, 90.00, 120.00 degrees
Positions (direct):
Hf: 0.0000 0.0000 0.0000
Hf: 0.3333 0.6667 0.6667
Hf: 0.6667 0.3333 0.3333
Sn: 0.0000 0.0000 0.4091
Sn: 0.0000 0.0000 0.5909
Sn: 0.3333 0.6667 0.0758
Sn: 0.3333 0.6667 0.2575
Sn: 0.6667 0.3333 0.7425
Sn: 0.6667 0.3333 0.9242
Hg: 0.0000 0.0000 0.5000
Hg: 0.3333 0.6667 0.1667
Hg: 0.6667 0.3333 0.8333



The following is a PBE calculation of a relaxed Hf3SnHg crystal, from Alexandria.

Output
E above lowest polymorph ... 1.050 eV per formula unit
ΔE_f ... 19 kJ/mol of atoms
DOS at the Fermi energy ... 0.78 states/eV per atom
Total DFT energy (no corrections) ... -6.639 eV per atom
Spin magnetization ... 0.000 μB/f.u.

Cell lengths 8.2510, 8.2510, 5.3555 Å; angles 90.00, 90.00, 139.34 degrees
Positions (direct):
Hf: 0.0000 0.0000 0.0000
Hf: 0.0000 0.0000 0.5000
Hf: 0.0875 0.4028 0.2500
Hf: 0.4028 0.0875 0.7500
Hf: 0.5972 0.9125 0.2500
Hf: 0.9125 0.5972 0.7500
Sn: 0.1759 0.8241 0.2500
Sn: 0.8241 0.1759 0.7500
Hg: 0.4415 0.5585 0.7500
Hg: 0.5585 0.4415 0.2500



The following is a PBE calculation of a relaxed Hf2SnHg2 crystal, from Alexandria.

Output
E above lowest polymorph ... 0.346 eV per formula unit
ΔE_f ... 14 kJ/mol of atoms
DOS at the Fermi energy ... 0.81 states/eV per atom
Total DFT energy (no corrections) ... -4.760 eV per atom
Spin magnetization ... 0.000 μB/f.u.

Cell lengths 8.2519, 8.2519, 3.3571 Å; angles 90.00, 90.00, 90.00 degrees
Positions (direct):
Hf: 0.1691 0.3309 0.0000
Hf: 0.3309 0.8309 0.0000
Hf: 0.6691 0.1691 0.0000
Hf: 0.8309 0.6691 0.0000
Sn: 0.0000 0.0000 0.5000
Sn: 0.5000 0.5000 0.5000
Hg: 0.1292 0.6292 0.5000
Hg: 0.3708 0.1292 0.5000
Hg: 0.6292 0.8708 0.5000
Hg: 0.8708 0.3708 0.5000



What is the formula in the twelfth record?
Hf2SnHg2



The lowest DOS at the Fermi energy belongs to which entry?
HfSnHg



What is the ΔE_f in the eleventh record?
19 kJ/mol of atoms



Which value of ΔE_f does entry 8 give?
7 kJ/mol of atoms